{"formula": "CuSiW", "functional": "PBEsol", "state": "optimized geometry", "e_form_raw_ev_per_fu": 0.690, "total_magnetization_mub_per_fu": 0.000, "density_g_cm3": 11.25, "energy_ev_per_atom": -7.7328, "lattice_angstrom": [[3.244, 0.000, 0.000], [0.000, 4.291, 0.000], [0.000, 0.000, 11.687]], "species": ["Cu", "Cu", "Cu", "Cu", "Si", "Si", "Si", "Si", "W", "W", "W", "W"], "fractional_positions": [[0.000, 0.000, 0.000], [0.000, 0.500, 0.500], [0.500, 0.000, 0.500], [0.500, 0.500, 0.000], [0.000, 0.000, 0.654], [0.000, 0.500, 0.154], [0.500, 0.000, 0.154], [0.500, 0.500, 0.654], [0.000, 0.000, 0.320], [0.000, 0.500, 0.820], [0.500, 0.000, 0.820], [0.500, 0.500, 0.320]]}

---

{"formula": "SrCuPb2", "functional": "PBEsol", "state": "optimized geometry", "total_magnetization_mub_per_fu": 0.000, "density_g_cm3": 8.96, "energy_ev_per_atom": -3.5854, "lattice_angstrom": [[4.747, 0.000, 0.000], [0.000, 4.747, 0.000], [0.000, 0.000, 9.306]], "species": ["Sr", "Sr", "Cu", "Cu", "Pb", "Pb", "Pb", "Pb"], "fractional_positions": [[0.000, 0.000, 0.000], [0.500, 0.500, 0.500], [0.000, 0.500, 0.250], [0.500, 0.000, 0.750], [0.000, 0.000, 0.500], [0.000, 0.500, 0.750], [0.500, 0.000, 0.250], [0.500, 0.500, 0.000]]}

---

{"formula": "MnFeSe2N", "functional": "PBEsol", "state": "optimized geometry", "e_form_raw_ev_per_fu": 2.143, "total_magnetization_mub_per_fu": 4.804, "density_g_cm3": 5.93, "energy_ev_per_atom": -6.5617, "lattice_angstrom": [[4.841, 0.000, 0.000], [0.000, 4.841, 0.000], [0.000, 0.000, 3.375]], "species": ["Mn", "Fe", "Se", "Se", "N"], "fractional_positions": [[0.000, 0.000, 0.000], [0.500, 0.500, 0.500], [0.000, 0.500, 0.000], [0.500, 0.000, 0.000], [0.000, 0.000, 0.500]]}

---

{"formula": "AlOsPt4", "functional": "PBEsol", "state": "optimized geometry", "total_magnetization_mub_per_fu": 0.007, "density_g_cm3": 17.41, "energy_ev_per_atom": -6.9585, "lattice_angstrom": [[0.000, 3.623, 3.623], [3.623, 0.000, 3.623], [3.623, 3.623, 0.000]], "species": ["Al", "Os", "Pt", "Pt", "Pt", "Pt"], "fractional_positions": [[0.000, 0.000, 0.000], [0.250, 0.250, 0.250], [0.126, 0.624, 0.624], [0.624, 0.126, 0.624], [0.624, 0.624, 0.126], [0.624, 0.624, 0.624]]}

---

{"formula": "LiTcRh", "functional": "PBEsol", "state": "optimized geometry", "e_above_lowest_polymorph_ev_per_atom": 0.0000, "total_magnetization_mub_per_fu": 0.000, "density_g_cm3": 8.93, "energy_ev_per_atom": -7.0130, "lattice_angstrom": [[2.649, 0.000, 0.000], [0.000, 3.833, 0.000], [0.000, 0.000, 7.615]], "species": ["Li", "Li", "Tc", "Tc", "Rh", "Rh"], "fractional_positions": [[0.000, 0.000, 0.000], [0.500, 0.500, 0.500], [0.000, 0.000, 0.326], [0.500, 0.500, 0.826], [0.000, 0.000, 0.667], [0.500, 0.500, 0.167]]}

---

{"formula": "TlBr2O", "functional": "PBEsol", "state": "optimized geometry", "e_form_raw_ev_per_fu": 0.260, "total_magnetization_mub_per_fu": 0.000, "density_g_cm3": 5.39, "energy_ev_per_atom": -2.8399, "lattice_angstrom": [[6.182, 0.000, 0.000], [0.000, 6.182, 0.000], [0.000, 0.000, 12.249]], "species": ["Tl", "Tl", "Tl", "Tl", "Br", "Br", "Br", "Br", "Br", "Br", "Br", "Br", "O", "O", "O", "O"], "fractional_positions": [[0.000, 0.000, 0.000], [0.000, 0.500, 0.250], [0.500, 0.000, 0.750], [0.500, 0.500, 0.500], [0.064, 0.250, 0.625], [0.250, 0.564, 0.875], [0.250, 0.936, 0.375], [0.436, 0.250, 0.125], [0.564, 0.750, 0.125], [0.750, 0.064, 0.375], [0.750, 0.436, 0.875], [0.936, 0.750, 0.625], [0.000, 0.000, 0.500], [0.000, 0.500, 0.750], [0.500, 0.000, 0.250], [0.500, 0.500, 0.000]]}

---

{"formula": "Sc2Co", "functional": "PBEsol", "state": "optimized geometry", "total_magnetization_mub_per_fu": 0.000, "density_g_cm3": 4.76, "energy_ev_per_atom": -7.2022, "lattice_angstrom": [[3.197, 0.000, 0.000], [0.000, 13.968, 0.000], [0.000, 0.000, 4.652]], "species": ["Sc", "Sc", "Sc", "Sc", "Sc", "Sc", "Sc", "Sc", "Co", "Co", "Co", "Co"], "fractional_positions": [[0.000, 0.072, 0.250], [0.000, 0.214, 0.750], [0.000, 0.786, 0.250], [0.000, 0.928, 0.750], [0.500, 0.286, 0.250], [0.500, 0.428, 0.750], [0.500, 0.572, 0.250], [0.500, 0.714, 0.750], [0.000, 0.427, 0.250], [0.000, 0.573, 0.750], [0.500, 0.073, 0.750], [0.500, 0.927, 0.250]]}

---

{"formula": "Ca2CoAs", "functional": "PBEsol", "state": "optimized geometry", "total_magnetization_mub_per_fu": 1.233, "density_g_cm3": 4.35, "energy_ev_per_atom": -4.5154, "lattice_angstrom": [[4.594, 0.000, 0.000], [0.000, 4.594, 0.000], [0.000, 0.000, 3.875]], "species": ["Ca", "Ca", "Co", "As"], "fractional_positions": [[0.000, 0.500, 0.000], [0.500, 0.000, 0.000], [0.000, 0.000, 0.500], [0.500, 0.500, 0.500]]}

---

{"formula": "LaPPbF2", "functional": "PBEsol", "state": "optimized geometry", "e_form_raw_ev_per_fu": -7.829, "total_magnetization_mub_per_fu": 0.014, "density_g_cm3": 6.03, "energy_ev_per_atom": -5.3640, "lattice_angstrom": [[4.485, 0.000, 0.000], [0.000, 4.485, 0.000], [0.000, 0.000, 5.681]], "species": ["La", "P", "Pb", "F", "F"], "fractional_positions": [[0.000, 0.000, 0.000], [0.500, 0.500, 0.000], [0.500, 0.500, 0.500], [0.000, 0.500, 0.500], [0.500, 0.000, 0.500]]}

---

{"formula": "La2MgAu", "functional": "PBEsol", "state": "optimized geometry", "total_magnetization_mub_per_fu": 0.001, "density_g_cm3": 7.54, "energy_ev_per_atom": -4.5025, "lattice_angstrom": [[3.841, 0.000, 0.000], [0.000, 3.841, 0.000], [0.000, 0.000, 7.448]], "species": ["La", "La", "Mg", "Au"], "fractional_positions": [[0.000, 0.000, 0.228], [0.000, 0.000, 0.772], [0.500, 0.500, 0.500], [0.500, 0.500, 0.000]]}

---

{"formula": "RbRu3W", "functional": "PBEsol", "state": "optimized geometry", "total_magnetization_mub_per_fu": 2.417, "density_g_cm3": 8.80, "energy_ev_per_atom": -7.3692, "lattice_angstrom": [[4.763, 0.000, 0.000], [0.000, 4.763, 0.000], [0.000, 0.000, 4.763]], "species": ["Rb", "Ru", "Ru", "Ru", "W"], "fractional_positions": [[0.000, 0.000, 0.000], [0.000, 0.500, 0.500], [0.500, 0.000, 0.500], [0.500, 0.500, 0.000], [0.500, 0.500, 0.500]]}

---

{"formula": "TiCrBr2", "functional": "PBEsol", "state": "optimized geometry", "e_above_lowest_polymorph_ev_per_atom": 0.2188, "e_form_raw_ev_per_fu": 0.584, "total_magnetization_mub_per_fu": 3.694, "density_g_cm3": 6.30, "energy_ev_per_atom": -5.4302, "lattice_angstrom": [[6.494, 0.000, 0.000], [0.000, 6.494, 0.000], [0.000, 0.000, 6.494]], "species": ["Ti", "Ti", "Ti", "Ti", "Cr", "Cr", "Cr", "Cr", "Br", "Br", "Br", "Br", "Br", "Br", "Br", "Br"], "fractional_positions": [[0.000, 0.000, 0.000], [0.000, 0.500, 0.500], [0.500, 0.000, 0.500], [0.500, 0.500, 0.000], [0.000, 0.000, 0.500], [0.000, 0.500, 0.000], [0.500, 0.000, 0.000], [0.500, 0.500, 0.500], [0.250, 0.250, 0.250], [0.250, 0.250, 0.750], [0.250, 0.750, 0.250], [0.250, 0.750, 0.750], [0.750, 0.250, 0.250], [0.750, 0.250, 0.750], [0.750, 0.750, 0.250], [0.750, 0.750, 0.750]]}

---

{"formula": "TlSiSb2", "functional": "PBEsol", "state": "optimized geometry", "e_above_lowest_polymorph_ev_per_atom": 0.1467, "e_form_raw_ev_per_fu": 1.523, "total_magnetization_mub_per_fu": 0.000, "density_g_cm3": 8.16, "energy_ev_per_atom": -3.9921, "lattice_angstrom": [[6.232, 0.000, 0.000], [0.000, 10.216, 0.000], [-0.948, 0.000, 3.044]], "species": ["Tl", "Tl", "Si", "Si", "Sb", "Sb", "Sb", "Sb"], "fractional_positions": [[0.000, 0.000, 0.000], [0.500, 0.500, 0.000], [0.000, 0.500, 0.000], [0.500, 0.000, 0.000], [0.250, 0.250, 0.500], [0.250, 0.750, 0.500], [0.750, 0.250, 0.500], [0.750, 0.750, 0.500]]}

---

{"formula": "AlNiSb3", "functional": "PBEsol", "state": "optimized geometry", "e_form_raw_ev_per_fu": 5.273, "total_magnetization_mub_per_fu": 0.000, "density_g_cm3": 5.66, "energy_ev_per_atom": -3.7296, "lattice_angstrom": [[5.096, 0.000, 0.000], [0.000, 5.096, 0.000], [0.000, 0.000, 5.096]], "species": ["Al", "Ni", "Sb", "Sb", "Sb"], "fractional_positions": [[0.000, 0.000, 0.000], [0.500, 0.500, 0.500], [0.000, 0.000, 0.500], [0.000, 0.500, 0.000], [0.500, 0.000, 0.000]]}

---

{"formula": "Mn3GaC", "functional": "PBEsol", "state": "optimized geometry", "total_magnetization_mub_per_fu": 3.927, "density_g_cm3": 7.69, "energy_ev_per_atom": -8.5854, "lattice_angstrom": [[3.763, 0.000, 0.000], [0.000, 3.763, 0.000], [0.000, 0.000, 3.763]], "species": ["Mn", "Mn", "Mn", "Ga", "C"], "fractional_positions": [[0.000, 0.000, 0.500], [0.000, 0.500, 0.000], [0.500, 0.000, 0.000], [0.500, 0.500, 0.500], [0.000, 0.000, 0.000]]}

---

{"formula": "BaScTa2", "functional": "PBEsol", "state": "optimized geometry", "e_above_lowest_polymorph_ev_per_atom": 0.0056, "total_magnetization_mub_per_fu": 0.000, "density_g_cm3": 9.16, "energy_ev_per_atom": -7.6691, "lattice_angstrom": [[3.651, 0.000, 0.000], [0.000, 3.651, 0.000], [0.000, 0.000, 7.398]], "species": ["Ba", "Sc", "Ta", "Ta"], "fractional_positions": [[0.000, 0.000, 0.000], [0.000, 0.000, 0.500], [0.500, 0.500, 0.325], [0.500, 0.500, 0.675]]}

---

{"formula": "LiPRuS2", "functional": "PBEsol", "state": "optimized geometry", "e_form_raw_ev_per_fu": 0.811, "total_magnetization_mub_per_fu": 0.168, "density_g_cm3": 3.40, "energy_ev_per_atom": -5.1776, "lattice_angstrom": [[4.778, 0.000, 0.000], [0.000, 4.778, 0.000], [0.000, 0.000, 4.342]], "species": ["Li", "P", "Ru", "S", "S"], "fractional_positions": [[0.000, 0.000, 0.000], [0.500, 0.500, 0.000], [0.500, 0.500, 0.500], [0.000, 0.500, 0.500], [0.500, 0.000, 0.500]]}

---

{"formula": "SmH2", "functional": "PBEsol", "state": "optimized geometry", "total_magnetization_mub_per_fu": 0.000, "density_g_cm3": 6.79, "energy_ev_per_atom": -4.5905, "lattice_angstrom": [[5.302, 0.000, 0.000], [0.000, 5.302, 0.000], [0.000, 0.000, 5.302]], "species": ["Sm", "Sm", "Sm", "Sm", "H", "H", "H", "H", "H", "H", "H", "H"], "fractional_positions": [[0.000, 0.000, 0.000], [0.000, 0.500, 0.500], [0.500, 0.000, 0.500], [0.500, 0.500, 0.000], [0.250, 0.250, 0.250], [0.250, 0.250, 0.750], [0.250, 0.750, 0.250], [0.250, 0.750, 0.750], [0.750, 0.250, 0.250], [0.750, 0.250, 0.750], [0.750, 0.750, 0.250], [0.750, 0.750, 0.750]]}

---

{"formula": "PPdAu3", "functional": "PBEsol", "state": "optimized geometry", "e_above_lowest_polymorph_ev_per_atom": 0.9570, "total_magnetization_mub_per_fu": 0.003, "density_g_cm3": 10.51, "energy_ev_per_atom": -3.3772, "lattice_angstrom": [[4.864, 0.000, 0.000], [0.000, 4.864, 0.000], [0.000, 0.000, 4.864]], "species": ["P", "Pd", "Au", "Au", "Au"], "fractional_positions": [[0.000, 0.000, 0.000], [0.500, 0.500, 0.500], [0.000, 0.500, 0.500], [0.500, 0.000, 0.500], [0.500, 0.500, 0.000]]}

---

{"formula": "Ba2CdTe", "functional": "PBEsol", "state": "optimized geometry", "e_above_lowest_polymorph_ev_per_atom": 0.0000, "e_form_raw_ev_per_fu": -3.665, "total_magnetization_mub_per_fu": 0.000, "density_g_cm3": 5.86, "energy_ev_per_atom": -3.1716, "lattice_angstrom": [[4.265, 0.000, 0.000], [0.000, 4.265, 0.000], [0.000, 0.000, 8.010]], "species": ["Ba", "Ba", "Cd", "Te"], "fractional_positions": [[0.000, 0.000, 0.243], [0.000, 0.000, 0.757], [0.500, 0.500, 0.500], [0.500, 0.500, 0.000]]}